(1)
Computed, not measured: an optimized crystal structure of SnHgTe2 at the PBEsol level of DFT.

## Properties
Its uncorrected formation energy is 0.14 eV per atom. Its magnetization is 0.0 μB per cell. The calculation puts the density of states at the Fermi level at 0.8117 states/eV per atom. Its total energy is -33.920 eV per cell.

Lattice parameters (Å, degrees): 3.2447 3.2447 36.1686 90.00 90.00 120.00
Space group R-3m (No. 166, hexagonal axes)
Unique sites:
Sn 0.0000 0.0000 0.0000 x3
Hg 0.0000 0.0000 0.5000 x3
Te 0.0000 0.0000 0.2527 x6

---

(2)
Computed, not measured: an optimized crystal structure of ZrSnHg2Te at the PBEsol level of DFT.

## Properties
Its uncorrected formation energy is 0.98 eV per atom. Its magnetization is 1.4 μB per cell. The calculation puts the density of states at the Fermi level at 1.1703 states/eV per atom. Its total energy is -13.112 eV per cell.

Lattice parameters (Å, degrees): 5.306 5.306 5.791 90.00 90.00 90.00
Space group P4/mmm (No. 123)
Unique sites:
Zr 0.000 0.000 0.000 x1
Sn 0.500 0.500 0.000 x1
Hg 0.000 0.500 0.500 x2
Te 0.500 0.500 0.500 x1

---

(3)
Computed, not measured: an optimized crystal structure of Sn3HgW at the PBEsol level of DFT.

## Properties
Its magnetization is 3.9 μB per cell. The calculation puts the density of states at the Fermi level at 0.6852 states/eV per atom. Its total energy is -18.643 eV per cell.

Lattice parameters (Å, degrees): 5.328 5.328 5.328 90.00 90.00 90.00
Space group Pm-3m (No. 221)
Unique sites:
Sn 0.000 0.000 0.500 x3
Hg 0.000 0.000 0.000 x1
W 0.500 0.500 0.500 x1